# Na2NiO PBE with a Hubbard U optimized geometry
# E	-3.006	eV/atom
# total moment	0.976	μB/cell
data_Na2NiO
_chemical_formula_sum 'Na8 Ni4 O4'
_cell_length_a 9.1613
_cell_length_b 9.1613
_cell_length_c 3.7822
_cell_angle_alpha 90.00
_cell_angle_beta 90.00
_cell_angle_gamma 90.00
_symmetry_space_group_name_H-M 'I -4 2 d'
_symmetry_Int_Tables_number 122
_symmetry_space_group_name_Hall 'I -4 2bw'
loop_
_atom_site_label
_atom_site_type_symbol
_atom_site_fract_x
_atom_site_fract_y
_atom_site_fract_z
Na1 Na 0.0532 0.2500 0.1250
Ni1 Ni 0.0000 0.0000 0.5000
O1 O 0.0000 0.0000 0.0000